# BaAcCl2, relaxed, DFT GGA-PBE
data_BaAcCl2
_space_group_name_H-M_alt 'P 1'
_space_group_IT_number 1
_cell_length_a 10.7975
_cell_length_b 10.7975
_cell_length_c 10.7975
_cell_angle_alpha 21.52
_cell_angle_beta 21.52
_cell_angle_gamma 21.52
loop_
_space_group_symop_operation_xyz
'x,y,z'
loop_
_atom_site_label
_atom_site_fract_x
_atom_site_fract_y
_atom_site_fract_z
_atom_site_occupancy
Ba1 0.0000 0.0000 0.0000 1
Ac1 0.5000 0.5000 0.5000 1
Cl1 0.0990 0.0990 0.0990 1
Cl2 0.9010 0.9010 0.9010 1
# ρ   4.9 g cm⁻³
# Magnetic moment   0.1 μB per cell
# Uncorrected formation energy   -5.9 eV/f.u.